(1)
SmZrFeCu after structural relaxation, computed with GGA-PBE.

abc: 6.715 6.715 6.715
angles: 90.00 90.00 90.00
Sites, in units of the cell vectors:
Sm 0.000 0.000 0.000
Sm 0.000 0.500 0.500
Sm 0.500 0.000 0.500
Sm 0.500 0.500 0.000
Zr 0.000 0.000 0.500
Zr 0.000 0.500 0.000
Zr 0.500 0.000 0.000
Zr 0.500 0.500 0.500
Fe 0.250 0.250 0.250
Fe 0.250 0.750 0.750
Fe 0.750 0.250 0.750
Fe 0.750 0.750 0.250
Cu 0.250 0.250 0.750
Cu 0.250 0.750 0.250
Cu 0.750 0.250 0.250
Cu 0.750 0.750 0.750

Computed properties:
Calculated density = 7.92 g/cm3
Energy = -6.42 eV/atom
Space-group type = No. 216
Energy relative to the elements = 3.4 kJ/mol of atoms
DOS at the Fermi energy = 12.669 states/eV per cell

(2)
HoPuI2 after structural relaxation, computed with GGA-PBE.

abc: 3.813 3.813 32.733
angles: 90.00 90.00 120.00
Sites, in units of the cell vectors:
Ho 0.000 0.000 0.000
Ho 0.333 0.667 0.667
Ho 0.667 0.333 0.333
Pu 0.000 0.000 0.500
Pu 0.333 0.667 0.167
Pu 0.667 0.333 0.833
I 0.000 0.000 0.400
I 0.000 0.000 0.600
I 0.333 0.667 0.067
I 0.333 0.667 0.267
I 0.667 0.333 0.733
I 0.667 0.333 0.933

Computed properties:
Calculated density = 8.01 g/cm3
Energy = -6.00 eV/atom
Space-group type = No. 166
DOS at the Fermi energy = 34.681 states/eV per cell

(3)
Si2Os2Au after structural relaxation, computed with GGA-PBE.

abc: 7.124 7.124 2.832
angles: 90.00 90.00 90.00
Sites, in units of the cell vectors:
Si 0.144 0.356 0.000
Si 0.356 0.856 0.000
Si 0.644 0.144 0.000
Si 0.856 0.644 0.000
Os 0.149 0.649 0.500
Os 0.351 0.149 0.500
Os 0.649 0.851 0.500
Os 0.851 0.351 0.500
Au 0.000 0.000 0.000
Au 0.500 0.500 0.000

Computed properties:
Calculated density = 14.64 g/cm3
Energy = -7.35 eV/atom
Space-group type = No. 127
Relative energy among the computed polymorphs = 0.035 eV per atom
DOS at the Fermi energy = 5.808 states/eV per cell

(4)
HfMnTl3 after structural relaxation, computed with GGA-PBE.

abc: 5.599 5.599 5.599
angles: 90.00 90.00 90.00
Sites, in units of the cell vectors:
Hf 0.000 0.000 0.000
Mn 0.500 0.500 0.500
Tl 0.000 0.000 0.500
Tl 0.000 0.500 0.000
Tl 0.500 0.000 0.000

Computed properties:
Calculated density = 8.01 g/cm3
Energy = -4.25 eV/atom
Space-group type = No. 221
Relative energy among the computed polymorphs = 0.000 eV per atom
Energy relative to the elements = 96.0 kJ/mol of atoms
DOS at the Fermi energy = 3.813 states/eV per cell

(5)
Rb2ZrGeSe4 after structural relaxation, computed with GGA-PBE.

abc: 14.172 12.700 8.008
angles: 83.06 62.82 34.12
Sites, in units of the cell vectors:
Rb 0.056 0.056 0.694
Rb 0.306 0.306 0.944
Rb 0.694 0.694 0.056
Rb 0.944 0.944 0.306
Zr 0.125 0.125 0.125
Zr 0.875 0.875 0.875
Ge 0.375 0.375 0.375
Ge 0.625 0.625 0.625
Se 0.047 0.313 0.399
Se 0.259 0.601 0.687
Se 0.313 0.047 0.741
Se 0.399 0.741 0.047
Se 0.601 0.259 0.953
Se 0.687 0.953 0.259
Se 0.741 0.399 0.313
Se 0.953 0.687 0.601

Computed properties:
Calculated density = 3.51 g/cm3
Energy = -4.64 eV/atom
Space-group type = No. 70
DOS at the Fermi energy = 0.000 states/eV per cell

(6)
Cu2TeW after structural relaxation, computed with GGA-PBE.

abc: 2.964 2.964 27.015
angles: 90.00 90.00 120.00
Sites, in units of the cell vectors:
Cu 0.000 0.000 0.243
Cu 0.000 0.000 0.757
Cu 0.333 0.667 0.423
Cu 0.333 0.667 0.910
Cu 0.667 0.333 0.090
Cu 0.667 0.333 0.577
Te 0.000 0.000 0.000
Te 0.333 0.667 0.667
Te 0.667 0.333 0.333
W 0.000 0.000 0.500
W 0.333 0.667 0.167
W 0.667 0.333 0.833

Computed properties:
Calculated density = 10.63 g/cm3
Energy = -5.44 eV/atom
Space-group type = No. 166
DOS at the Fermi energy = 16.265 states/eV per cell

(7)
Li2GeBiH after structural relaxation, computed with GGA-PBE.

abc: 4.380 4.380 4.382
angles: 90.00 90.00 90.00
Sites, in units of the cell vectors:
Li 0.000 0.500 0.000
Li 0.500 0.000 0.000
Ge 0.000 0.000 0.500
Bi 0.500 0.500 0.500
H 0.000 0.000 0.000

Computed properties:
Calculated density = 5.86 g/cm3
Energy = -3.32 eV/atom
Space-group type = No. 123
Relative energy among the computed polymorphs = 0.000 eV per atom
DOS at the Fermi energy = 0.985 states/eV per cell

(8)
Pr2CdO after structural relaxation, computed with GGA-PBE.

abc: 3.764 3.764 23.729
angles: 90.00 90.00 120.00
Sites, in units of the cell vectors:
Pr 0.000 0.000 0.224
Pr 0.000 0.000 0.776
Pr 0.333 0.667 0.442
Pr 0.333 0.667 0.891
Pr 0.667 0.333 0.109
Pr 0.667 0.333 0.558
Cd 0.000 0.000 0.000
Cd 0.333 0.667 0.667
Cd 0.667 0.333 0.333
O 0.000 0.000 0.500
O 0.333 0.667 0.167
O 0.667 0.333 0.833

Computed properties:
Calculated density = 7.02 g/cm3
Energy = -5.22 eV/atom
Space-group type = No. 166
DOS at the Fermi energy = 10.872 states/eV per cell